#A
YTe2W: optimized geometry, PBE.

```
YTe2W
1.0
-1.7838 2.0915 6.4904
1.7838 -2.0915 6.4904
1.7838 2.0915 -6.4904
Y Te W
1 2 1
direct
0.0000 0.0000 0.0000
0.3304 0.8304 0.5000
0.6037 0.6037 0.0000
0.7667 0.2667 0.5000
```

total moment: 0.002 μB per formula unit
DOS(E_F): 2.90 states/eV/f.u.
ρ: 9.051 g/cm3
V: 24.21 Å³ per atom
symmetry: Imm2, No. 44

=====

#B
YTe2W: optimized geometry, PBE.

```
YTe2W
1.0
1.7536 1.0124 9.9342
-1.7536 1.0124 9.9342
0.0000 -2.0249 9.9342
Y Te W
1 2 1
direct
0.0000 0.0000 0.0000
0.1038 0.1038 0.1038
0.8962 0.8962 0.8962
0.5000 0.5000 0.5000
```

total moment: 0.000 μB per formula unit
DOS(E_F): 4.61 states/eV/f.u.
ρ: 8.284 g/cm3
V: 26.46 Å³ per atom
symmetry: R-3m, No. 166

=====

In kJ/mol of atoms, relative to the most stable structure: #A 0.0; #B 27.4.

=====

#A
YTe2W: optimized geometry, PBE.

```
YTe2W
1.0
0.0000 3.6098 3.6098
3.6098 0.0000 3.6098
3.6098 3.6098 0.0000
Y Te W
1 2 1
direct
0.0000 0.0000 0.0000
0.2500 0.2500 0.2500
0.5000 0.5000 0.5000
0.7500 0.7500 0.7500
```

total moment: 0.000 μB per formula unit
DOS(E_F): 3.98 states/eV/f.u.
ρ: 9.319 g/cm3
V: 23.52 Å³ per atom
symmetry: F-43m, No. 216

=====

#B
YTe2W: optimized geometry, PBE.

```
YTe2W
1.0
3.6011 0.0000 0.0000
0.0000 5.2033 0.0000
-1.7987 0.0000 5.2252
Y Te W
1 2 1
direct
0.0000 0.0000 0.0000
0.2799 0.0000 0.5582
0.6293 0.5000 0.2558
0.3492 0.5000 0.6946
```

total moment: 0.000 μB per formula unit
DOS(E_F): 3.05 states/eV/f.u.
ρ: 8.954 g/cm3
V: 24.48 Å³ per atom
symmetry: Pm, No. 6

=====

#C
YTe2W: optimized geometry, PBE.

```
YTe2W
1.0
3.4461 0.0000 0.0000
0.0000 3.4461 0.0000
0.0000 0.0000 8.9962
Y Te W
1 2 1
direct
0.0000 0.0000 0.0000
0.0000 0.0000 0.6191
0.5000 0.5000 0.2371
0.5000 0.5000 0.7668
```

total moment: 0.498 μB per formula unit
DOS(E_F): 3.73 states/eV/f.u.
ρ: 8.206 g/cm3
V: 26.71 Å³ per atom
symmetry: P4mm, No. 99

=====

#D
YTe2W: optimized geometry, PBE.

```
YTe2W
1.0
-2.1419 2.1419 5.2292
2.1419 -2.1419 5.2292
2.1419 2.1419 -5.2292
Y Te W
1 2 1
direct
0.0000 0.0000 0.0000
0.2500 0.7500 0.5000
0.5000 0.5000 0.0000
0.7500 0.2500 0.5000
```

total moment: 2.517 μB per formula unit
DOS(E_F): 4.82 states/eV/f.u.
ρ: 9.136 g/cm3
V: 23.99 Å³ per atom
symmetry: I-4m2, No. 119

=====

In kJ/mol of atoms, relative to the most stable structure: #A 64.3; #B 10.2; #C 0.0; #D 39.2.

=====

#A
YTe2W: optimized geometry, PBE.

```
YTe2W
1.0
1.7268 0.9970 10.8342
-1.7268 0.9970 10.8342
0.0000 -1.9939 10.8342
Y Te W
1 2 1
direct
0.0000 0.0000 0.0000
0.2570 0.2570 0.2570
0.4643 0.4643 0.4643
0.7396 0.7396 0.7396
```

total moment: 0.001 μB per formula unit
DOS(E_F): 2.63 states/eV/f.u.
ρ: 7.834 g/cm3
V: 27.98 Å³ per atom
symmetry: R3m, No. 160

=====

#B
YTe2W: optimized geometry, PBE.

```
YTe2W
1.0
5.0264 0.0000 0.0000
0.0000 5.0264 0.0000
0.0000 0.0000 3.5543
Y Te W
1 2 1
direct
0.0000 0.0000 0.0000
0.0000 0.5000 0.5000
0.5000 0.0000 0.5000
0.5000 0.5000 0.0000
```

total moment: 1.012 μB per formula unit
DOS(E_F): 2.55 states/eV/f.u.
ρ: 9.763 g/cm3
V: 22.45 Å³ per atom
symmetry: P4/mmm, No. 123

=====

In kJ/mol of atoms, relative to the most stable structure: #A 5.2; #B 0.0.

=====

#A
YTeW3: optimized geometry, PBE.

```
YTeW3
1.0
4.9187 0.0000 0.0000
0.0000 4.9187 0.0000
0.0000 0.0000 4.9187
Y Te W
1 1 3
direct
0.0000 0.0000 0.0000
0.5000 0.5000 0.5000
0.0000 0.0000 0.5000
0.0000 0.5000 0.0000
0.5000 0.0000 0.0000
```

total moment: 0.000 μB per formula unit
DOS(E_F): 6.76 states/eV/f.u.
ρ: 10.717 g/cm3
V: 23.80 Å³ per atom
symmetry: Pm-3m, No. 221

=====

#B
YTeW3: optimized geometry, PBE.

```
YTeW3
1.0
4.9299 0.0000 0.0000
0.0000 4.9299 0.0000
0.0000 0.0000 4.9299
Y Te W
1 1 3
direct
0.0000 0.0000 0.0000
0.5000 0.5000 0.5000
0.0000 0.5000 0.5000
0.5000 0.0000 0.5000
0.5000 0.5000 0.0000
```

total moment: 0.000 μB per formula unit
DOS(E_F): 6.43 states/eV/f.u.
ρ: 10.644 g/cm3
V: 23.96 Å³ per atom
symmetry: Pm-3m, No. 221

=====

In kJ/mol of atoms, relative to the most stable structure: #A 111.8; #B 0.0.

=====

#A
YTe3W: optimized geometry, PBE.

```
YTe3W
1.0
5.6943 0.0000 0.0000
0.0000 5.6943 0.0000
0.0000 0.0000 5.6943
Y Te W
1 3 1
direct
0.0000 0.0000 0.0000
0.0000 0.0000 0.5000
0.0000 0.5000 0.0000
0.5000 0.0000 0.0000
0.5000 0.5000 0.5000
```

total moment: 0.234 μB per formula unit
DOS(E_F): 7.10 states/eV/f.u.
ρ: 5.896 g/cm3
V: 36.93 Å³ per atom
symmetry: Pm-3m, No. 221

=====

#B
YTe3W: optimized geometry, PBE.

```
YTe3W
1.0
5.3480 0.0000 0.0000
0.0000 5.3480 0.0000
0.0000 0.0000 5.3480
Y Te W
1 3 1
direct
0.0000 0.0000 0.0000
0.0000 0.5000 0.5000
0.5000 0.0000 0.5000
0.5000 0.5000 0.0000
0.5000 0.5000 0.5000
```

total moment: 1.783 μB per formula unit
DOS(E_F): 6.10 states/eV/f.u.
ρ: 7.116 g/cm3
V: 30.59 Å³ per atom
symmetry: Pm-3m, No. 221

=====

In kJ/mol of atoms, relative to the most stable structure: #A 99.0; #B 0.0.

=====

#A
ZnTeW2: optimized geometry, PBE.

```
ZnTeW2
1.0
4.6617 -1.6586 0.0000
4.6617 1.6586 0.0000
-1.5907 0.0000 4.6104
Zn Te W
1 1 2
direct
0.0000 0.0000 0.0000
0.7728 0.7728 0.3192
0.2514 0.2514 0.8346
0.5362 0.5362 0.5559
```

total moment: 0.000 μB per formula unit
DOS(E_F): 1.79 states/eV/f.u.
ρ: 13.060 g/cm3
V: 17.82 Å³ per atom
symmetry: Cm, No. 8

=====

#B
ZnTeW2: optimized geometry, PBE.

```
ZnTeW2
1.0
1.5241 0.8800 8.6658
-1.5241 0.8800 8.6658
0.0000 -1.7599 8.6658
Zn Te W
1 1 2
direct
0.0000 0.0000 0.0000
0.5000 0.5000 0.5000
0.2501 0.2501 0.2501
0.7499 0.7499 0.7499
```

total moment: 0.000 μB per formula unit
DOS(E_F): 2.83 states/eV/f.u.
ρ: 13.351 g/cm3
V: 17.43 Å³ per atom
symmetry: R-3m, No. 166

=====

#C
ZnTeW2: optimized geometry, PBE.

```
ZnTeW2
1.0
0.0000 3.2263 3.2263
3.2263 0.0000 3.2263
3.2263 3.2263 0.0000
Zn Te W
1 1 2
direct
0.0000 0.0000 0.0000
0.5000 0.5000 0.5000
0.2500 0.2500 0.2500
0.7500 0.7500 0.7500
```

total moment: 0.000 μB per formula unit
DOS(E_F): 6.38 states/eV/f.u.
ρ: 13.862 g/cm3
V: 16.79 Å³ per atom
symmetry: Fm-3m, No. 225

=====

In kJ/mol of atoms, relative to the most stable structure: #A 0.0; #B 13.4; #C 17.6.